## i
SmTmZnRh | PBE | relaxed

Values from the calculation:
DOS at the Fermi energy = 9.11 states/eV per cell
Total moment = 0.0 μB per formula unit

Geometry as CIF:
```
data_SmTmZnRh
_chemical_formula_sum 'Sm4 Tm4 Zn4 Rh4'
_space_group_name_H-M_alt 'F -4 3 m'
_space_group_IT_number 216
_space_group_name_Hall 'F -4 2 3'
_cell_length_a 7.010
_cell_length_b 7.010
_cell_length_c 7.010
_cell_angle_alpha 90.00
_cell_angle_beta 90.00
_cell_angle_gamma 90.00
loop_
_atom_site_label
_atom_site_type_symbol
_atom_site_fract_x
_atom_site_fract_y
_atom_site_fract_z
_atom_site_occupancy
Sm1 Sm 0.000 0.000 0.000 1
Tm1 Tm 0.000 0.000 0.500 1
Zn1 Zn 0.250 0.250 0.750 1
Rh1 Rh 0.250 0.250 0.250 1
```


## ii
SmTmZnRh | PBE | relaxed

Values from the calculation:
DOS at the Fermi energy = 3.33 states/eV per cell
Total moment = 0.0 μB per formula unit

Geometry as CIF:
```
data_SmTmZnRh
_chemical_formula_sum 'Sm1 Tm1 Zn1 Rh1'
_space_group_name_H-M_alt 'P 4 m m'
_space_group_IT_number 99
_cell_length_a 3.508
_cell_length_b 3.508
_cell_length_c 7.074
_cell_angle_alpha 90.00
_cell_angle_beta 90.00
_cell_angle_gamma 90.00
loop_
_space_group_symop_operation_xyz
'x,y,z'
'-y,x,z'
'-x,-y,z'
'y,-x,z'
'-x,y,z'
'y,x,z'
'x,-y,z'
'-y,-x,z'
loop_
_atom_site_label
_atom_site_type_symbol
_atom_site_fract_x
_atom_site_fract_y
_atom_site_fract_z
_atom_site_occupancy
Sm1 Sm 0.000 0.000 0.000 1
Tm1 Tm 0.000 0.000 0.468 1
Zn1 Zn 0.500 0.500 0.718 1
Rh1 Rh 0.500 0.500 0.250 1
```


Here is how they stack up, most stable first: ii, i.


## i
SmY2Rh | PBE | relaxed

Values from the calculation:
DOS at the Fermi energy = 20.96 states/eV per cell
Total moment = 0.0 μB per formula unit

Geometry as CIF:
```
data_SmY2Rh
_chemical_formula_sum 'Sm4 Y8 Rh4'
_space_group_name_H-M_alt 'C m c m'
_space_group_IT_number 63
_space_group_name_Hall '-C 2c 2'
_cell_length_a 3.791
_cell_length_b 12.191
_cell_length_c 9.557
_cell_angle_alpha 90.00
_cell_angle_beta 90.00
_cell_angle_gamma 90.00
loop_
_atom_site_label
_atom_site_type_symbol
_atom_site_fract_x
_atom_site_fract_y
_atom_site_fract_z
_atom_site_occupancy
Sm1 Sm 0.000 0.077 0.250 1
Y1 Y 0.000 0.361 0.068 1
Rh1 Rh 0.000 0.244 0.750 1
```


## ii
SmY2Rh | PBE | relaxed

Values from the calculation:
DOS at the Fermi energy = 19.24 states/eV per cell
Total moment = 0.0 μB per formula unit

Geometry as CIF:
```
data_SmY2Rh
_chemical_formula_sum 'Sm4 Y8 Rh4'
_space_group_name_H-M_alt 'P n m a'
_space_group_IT_number 62
_cell_length_a 7.216
_cell_length_b 9.544
_cell_length_c 6.432
_cell_angle_alpha 90.00
_cell_angle_beta 90.00
_cell_angle_gamma 90.00
loop_
_space_group_symop_operation_xyz
'x,y,z'
'-x,-y,-z'
'-x+1/2,-y,z+1/2'
'x+1/2,y,-z+1/2'
'x+1/2,-y+1/2,-z+1/2'
'-x+1/2,y+1/2,z+1/2'
'-x,y+1/2,-z'
'x,-y+1/2,z'
loop_
_atom_site_label
_atom_site_type_symbol
_atom_site_fract_x
_atom_site_fract_y
_atom_site_fract_z
_atom_site_occupancy
Sm1 Sm 0.036 0.250 0.139 1
Y1 Y 0.176 0.065 0.672 1
Rh1 Rh 0.118 0.750 0.442 1
```


## iii
SmY2Rh | PBE | relaxed

Values from the calculation:
DOS at the Fermi energy = 16.07 states/eV per cell
Total moment = 0.0 μB per formula unit

Geometry as CIF:
```
data_SmY2Rh
_chemical_formula_sum 'Sm3 Y6 Rh3'
_space_group_name_H-M_alt 'R 3 m'
_space_group_IT_number 160
_space_group_name_Hall 'R 3 -2"'
_cell_length_a 3.8692
_cell_length_b 3.8692
_cell_length_c 27.4935
_cell_angle_alpha 90.00
_cell_angle_beta 90.00
_cell_angle_gamma 120.00
loop_
_atom_site_label
_atom_site_type_symbol
_atom_site_fract_x
_atom_site_fract_y
_atom_site_fract_z
_atom_site_occupancy
Sm1 Sm 0.0000 0.0000 0.0000 1
Y1 Y 0.0000 0.0000 0.5570 1
Y2 Y 0.0000 0.0000 0.7726 1
Rh1 Rh 0.0000 0.0000 0.1647 1
```


## iv
SmY2Rh | PBE | relaxed

Values from the calculation:
DOS at the Fermi energy = 16.96 states/eV per cell
Total moment = 0.0 μB per formula unit

Geometry as CIF:
```
data_SmY2Rh
_chemical_formula_sum 'Sm3 Y6 Rh3'
_space_group_name_H-M_alt 'R -3 m'
_space_group_IT_number 166
_space_group_name_Hall '-R 3 2"'
_cell_length_a 3.6734
_cell_length_b 3.6734
_cell_length_c 31.7986
_cell_angle_alpha 90.00
_cell_angle_beta 90.00
_cell_angle_gamma 120.00
loop_
_atom_site_label
_atom_site_type_symbol
_atom_site_fract_x
_atom_site_fract_y
_atom_site_fract_z
_atom_site_occupancy
Sm1 Sm 0.0000 0.0000 0.0000 1
Y1 Y 0.0000 0.0000 0.1116 1
Rh1 Rh 0.0000 0.0000 0.5000 1
```


Here is how they stack up, most stable first: ii, i, iii, iv.